No. 1
This record from Alexandria describes a crystal of In2FeHg relaxed with PBEsol. The functional is meta-GGA SCAN.

```
In2FeHg
1.0
3.010 0.000 0.000
0.000 3.010 0.000
0.000 0.000 8.817
Fe Hg In
1 1 2
direct
0.000 0.000 0.503
0.500 0.500 0.705
0.500 0.500 0.300
0.000 0.000 0.992
```

Calculated values
The value obtained for the mass density is 10.1 g cm⁻³. The space group is P4mm, No. 99. For the formation energy, the calculation gives 0.24 eV per atom.

No. 2
This record from Alexandria describes a crystal of ReAg relaxed with PBEsol. The functional is meta-GGA SCAN.

```
ReAg
1.0
-0.843 -2.226 3.743
0.289 -4.426 0.062
3.308 -1.976 2.198
Re Ag
2 2
direct
0.500 0.500 0.500
0.750 0.750 0.750
0.250 0.250 0.250
0.000 0.000 0.000
```

Calculated values
The value obtained for the mass density is 15.8 g cm⁻³. The space group is Fd-3m, No. 227. As for the energy above the most stable polymorph in this dataset: 11.4 kJ/mol of atoms. For the formation energy, the calculation gives 0.84 eV per atom.

No. 3
This record from Alexandria describes a crystal of CdCu3 relaxed with PBEsol. The functional is meta-GGA SCAN.

```
CdCu3
1.0
4.849 0.000 0.000
0.000 5.213 0.000
0.000 0.000 8.475
Cu Cd
12 4
direct
0.434 0.388 0.250
0.216 0.149 0.008
0.716 0.351 0.492
0.284 0.649 0.992
0.784 0.851 0.508
0.784 0.851 0.992
0.284 0.649 0.508
0.716 0.351 0.008
0.216 0.149 0.492
0.566 0.612 0.750
0.934 0.112 0.250
0.066 0.888 0.750
0.549 0.101 0.750
0.451 0.899 0.250
0.049 0.399 0.750
0.951 0.601 0.250
```

Calculated values
The value obtained for the mass density is 9.4 g cm⁻³. The space group is Pnma, No. 62. For the formation energy, the calculation gives 0.10 eV per atom.

No. 4
This record from Alexandria describes a crystal of TaBeSi relaxed with PBEsol. The functional is meta-GGA SCAN.

```
TaBeSi
1.0
3.268 0.000 0.000
0.000 3.659 0.000
0.000 -1.829 3.168
Si Be Ta
1 1 1
direct
0.000 0.667 0.333
0.000 0.000 0.000
0.500 0.333 0.667
```

Calculated values
The value obtained for the mass density is 9.6 g cm⁻³. The space group is P-6m2, No. 187. As for the formation energy (no corrections): -0.237 eV per atom.

No. 5
This record from Alexandria describes a crystal of BaTl2O relaxed with PBEsol. The functional is meta-GGA SCAN.

```
BaTl2O
1.0
5.270 0.000 0.000
2.635 4.564 0.000
2.635 1.521 4.303
Tl O Ba
2 1 1
direct
0.750 0.750 0.750
0.250 0.250 0.250
0.000 0.000 0.000
0.500 0.500 0.500
```

Calculated values
The value obtained for the mass density is 9.0 g cm⁻³. The space group is Fm-3m, No. 225. As for the formation energy (no corrections): -0.083 eV per atom.

No. 6
This record from Alexandria describes a crystal of La3As2ClO7 relaxed with PBEsol. The functional is meta-GGA SCAN.

```
La3As2ClO7
1.0
5.549 0.000 0.000
0.000 12.944 0.000
0.000 0.000 12.944
La O Cl As
12 28 4 8
direct
0.500 0.231 0.769
0.500 0.053 0.363
0.000 0.269 0.269
0.000 0.863 0.447
0.000 0.553 0.137
0.000 0.731 0.731
0.000 0.447 0.863
0.000 0.137 0.553
0.500 0.637 0.947
0.500 0.769 0.231
0.500 0.363 0.053
0.500 0.947 0.637
0.000 0.088 0.292
0.750 0.000 0.500
0.739 0.414 0.223
0.261 0.586 0.777
0.239 0.723 0.086
0.250 0.000 0.500
0.500 0.588 0.208
0.739 0.777 0.586
0.000 0.912 0.708
0.239 0.914 0.277
0.761 0.914 0.277
0.239 0.277 0.914
0.750 0.500 0.000
0.500 0.412 0.792
0.761 0.277 0.914
0.239 0.086 0.723
0.250 0.500 0.000
0.500 0.208 0.588
0.261 0.777 0.586
0.000 0.708 0.912
0.739 0.223 0.414
0.500 0.792 0.412
0.761 0.723 0.086
0.761 0.086 0.723
0.000 0.292 0.088
0.261 0.414 0.223
0.739 0.586 0.777
0.261 0.223 0.414
0.500 0.832 0.832
0.500 0.168 0.168
0.000 0.668 0.332
0.000 0.332 0.668
0.500 0.292 0.480
0.000 0.792 0.020
0.500 0.520 0.708
0.500 0.708 0.520
0.500 0.480 0.292
0.000 0.208 0.980
0.000 0.020 0.792
0.000 0.980 0.208
```

Calculated values
The value obtained for the mass density is 5.1 g cm⁻³. The space group is P4_2/mnm, No. 136. As for the formation energy (no corrections): -2.912 eV per atom.

No. 7
This record from Alexandria describes a crystal of CaAu3 relaxed with PBEsol. The functional is meta-GGA SCAN.

```
CaAu3
1.0
3.681 0.000 0.000
0.000 3.686 0.000
0.000 0.000 5.689
Au Ca
3 1
direct
0.500 0.500 0.739
0.000 0.000 0.500
0.500 0.500 0.261
0.000 0.000 0.000
```

Calculated values
The value obtained for the mass density is 13.6 g cm⁻³. The space group is P4/mmm, No. 123. For the formation energy, the calculation gives -0.60 eV per atom.

No. 8
This record from Alexandria describes a crystal of SrAgHg relaxed with PBEsol. The functional is meta-GGA SCAN.

```
SrAgHg
1.0
3.915 0.000 0.000
0.000 4.838 0.000
0.000 -2.419 4.190
Sr Hg Ag
1 1 1
direct
0.500 0.667 0.333
0.000 0.333 0.667
0.000 0.000 0.000
```

Calculated values
The value obtained for the mass density is 8.3 g cm⁻³. The space group is P-6m2, No. 187. For the formation energy, the calculation gives -0.48 eV per atom.

No. 9
This record from Alexandria describes a crystal of YSi2Pd relaxed with PBEsol. The functional is meta-GGA SCAN.

```
YSi2Pd
1.0
4.434 0.000 0.000
0.000 4.434 0.000
-2.217 -2.217 8.215
Y Pd Si
2 2 4
direct
0.750 0.250 0.500
0.500 0.500 0.000
0.250 0.750 0.500
0.000 0.000 0.000
0.233 0.875 0.250
0.017 0.375 0.250
0.125 0.983 0.750
0.625 0.767 0.750
```

Calculated values
The value obtained for the mass density is 5.2 g cm⁻³. The space group is I-42d, No. 122. As for the formation energy (no corrections): -0.494 eV per atom.

No. 10
This record from Alexandria describes a crystal of DyAsO4 relaxed with PBEsol. The functional is meta-GGA SCAN.

```
DyAsO4
1.0
5.899 0.006 0.000
-2.551 5.319 0.000
-1.674 -2.662 4.991
Dy O As
2 8 2
direct
0.500 0.500 0.000
0.750 0.250 0.500
0.254 0.572 0.683
0.822 0.639 0.817
0.996 0.178 0.817
0.361 0.178 0.183
0.889 0.572 0.317
0.822 0.004 0.183
0.428 0.111 0.683
0.428 0.746 0.317
0.000 0.000 0.000
0.250 0.750 0.500
```

Calculated values
The value obtained for the mass density is 6.4 g cm⁻³. The space group is I4_1/amd, No. 141. As for the formation energy (no corrections): -2.635 eV per atom.

No. 11
This record from Alexandria describes a crystal of Hf3AuO relaxed with PBEsol. The functional is meta-GGA SCAN.

```
Hf3AuO
1.0
-0.828 -4.254 -0.101
4.231 -0.812 -0.485
0.457 -0.191 4.307
Hf O Au
3 1 1
direct
0.500 0.000 0.000
0.000 0.500 0.000
0.000 0.000 0.500
0.000 0.000 0.000
0.500 0.500 0.500
```

Calculated values
The value obtained for the mass density is 15.3 g cm⁻³. The space group is Pm-3m, No. 221. As for the formation energy (no corrections): -1.302 eV per atom.

No. 12
This record from Alexandria describes a crystal of Na2BeAs relaxed with PBEsol. The functional is meta-GGA SCAN.

```
Na2BeAs
1.0
-0.299 -0.433 4.734
-4.072 -1.440 2.007
-0.279 -4.321 1.983
Be As Na
1 1 2
direct
0.000 0.000 0.000
0.500 0.500 0.500
0.750 0.750 0.750
0.250 0.250 0.250
```

Calculated values
The value obtained for the mass density is 2.8 g cm⁻³. The space group is Fm-3m, No. 225. For the formation energy, the calculation gives 0.27 eV per atom.

No. 13
This record from Alexandria describes a crystal of Li7BiO6 relaxed with PBEsol. The functional is meta-GGA SCAN.

```
Li7BiO6
1.0
5.629 0.000 0.000
2.814 4.875 0.000
2.814 1.625 5.029
Li O Bi
7 6 1
direct
0.497 0.123 0.649
0.490 0.934 0.348
0.228 0.490 0.348
0.730 0.497 0.649
0.934 0.228 0.348
0.652 0.652 0.045
0.123 0.730 0.649
0.390 0.797 0.737
0.076 0.390 0.737
0.243 0.876 0.250
0.876 0.632 0.250
0.797 0.076 0.737
0.632 0.243 0.250
0.002 0.002 0.995
```

Calculated values
The value obtained for the mass density is 4.3 g cm⁻³. The space group is R3, No. 146. As for the energy above the most stable polymorph in this dataset: 1.5 kJ/mol of atoms. As for the formation energy (no corrections): -1.802 eV per atom.

No. 14
This record from Alexandria describes a crystal of TaSi relaxed with PBEsol. The functional is meta-GGA SCAN.

```
TaSi
1.0
-0.555 -3.821 -0.269
3.594 1.427 0.163
-0.094 -0.341 5.044
Si Ta
2 2
direct
0.000 0.000 0.500
0.000 0.000 0.000
0.333 0.667 0.250
0.667 0.333 0.750
```

Calculated values
The value obtained for the mass density is 10.6 g cm⁻³. The space group is P6_3/mmc, No. 194. As for the formation energy (no corrections): 0.007 eV per atom.

No. 15
This record from Alexandria describes a crystal of YZn2 relaxed with PBEsol. The functional is meta-GGA SCAN.

```
YZn2
1.0
4.418 0.000 0.000
0.000 4.832 0.000
0.000 -2.416 5.281
Zn Y
4 2
direct
0.250 0.860 0.390
0.750 0.530 0.390
0.750 0.140 0.610
0.250 0.470 0.610
0.250 0.234 0.000
0.750 0.766 0.000
```

Calculated values
The value obtained for the mass density is 6.5 g cm⁻³. The space group is Cmcm, No. 63. For the formation energy, the calculation gives -0.29 eV per atom.

No. 16
This record from Alexandria describes a crystal of TaGaC2 relaxed with PBEsol. The functional is meta-GGA SCAN.

```
TaGaC2
1.0
-0.115 -4.689 -0.737
1.449 -0.737 4.461
-5.175 2.596 -0.417
Ta Ga C
2 2 4
direct
0.000 0.000 0.000
0.250 0.750 0.500
0.500 0.500 0.000
0.750 0.250 0.500
0.625 0.627 0.750
0.877 0.375 0.250
0.373 0.875 0.250
0.125 0.123 0.750
```

Calculated values
The value obtained for the mass density is 8.5 g cm⁻³. The space group is I-42d, No. 122. For the formation energy, the calculation gives 0.23 eV per atom.

No. 17
This record from Alexandria describes a crystal of Er2MnC4 relaxed with PBEsol. The functional is meta-GGA SCAN.

```
Er2MnC4
1.0
-1.592 4.442 -1.429
-4.575 2.353 3.906
2.489 4.776 3.567
Er C Mn
4 8 2
direct
0.645 0.199 0.510
0.145 0.510 0.199
0.855 0.490 0.801
0.355 0.801 0.490
0.130 0.214 0.526
0.870 0.786 0.474
0.370 0.474 0.786
0.921 0.908 0.251
0.079 0.092 0.749
0.579 0.749 0.092
0.421 0.251 0.908
0.630 0.526 0.214
0.750 0.000 0.000
0.250 0.000 0.000
```

Calculated values
The value obtained for the mass density is 8.5 g cm⁻³. The space group is Ibam, No. 72. For the formation energy, the calculation gives -0.38 eV per atom.

No. 18
This record from Alexandria describes a crystal of CaLa2Au relaxed with PBEsol. The functional is meta-GGA SCAN.

```
CaLa2Au
1.0
4.634 0.000 0.000
0.000 4.634 0.000
-2.317 -2.317 5.240
Ca La Au
1 2 1
direct
0.250 0.750 0.500
0.000 0.000 0.000
0.750 0.250 0.500
0.500 0.500 0.000
```

Calculated values
The value obtained for the mass density is 7.6 g cm⁻³. The space group is I-4m2, No. 119. As for the energy above the most stable polymorph in this dataset: 20.0 kJ/mol of atoms. For the formation energy, the calculation gives -0.27 eV per atom.

No. 19
This record from Alexandria describes a crystal of InBi relaxed with PBEsol. The functional is meta-GGA SCAN.

```
InBi
1.0
-0.021 1.775 -4.405
1.943 -2.467 -3.563
-2.772 -1.945 -3.330
In Bi
1 1
direct
0.000 0.000 0.000
0.750 0.750 0.750
```

Calculated values
The value obtained for the mass density is 7.1 g cm⁻³. The space group is F-43m, No. 216. For the formation energy, the calculation gives -0.05 eV per atom.

No. 20
This record from Alexandria describes a crystal of HfCoSe2N relaxed with PBEsol. The functional is meta-GGA SCAN.

```
HfCoSe2N
1.0
-0.596 3.222 -2.214
-0.851 -2.991 -4.123
-5.034 -0.145 1.144
Se Co Hf N
2 1 1 1
direct
0.000 0.500 0.000
0.000 0.000 0.500
0.500 0.500 0.500
0.000 0.000 0.000
0.500 0.000 0.000
```

Calculated values
The value obtained for the mass density is 6.4 g cm⁻³. The space group is P4/mmm, No. 123. As for the formation energy (no corrections): 0.150 eV per atom.

No. 21
This record from Alexandria describes a crystal of GaSbOs3 relaxed with PBEsol. The functional is meta-GGA SCAN.

```
GaSbOs3
1.0
4.758 0.000 0.000
0.000 4.758 0.000
0.000 0.000 4.758
Os Sb Ga
3 1 1
direct
0.000 0.500 0.000
0.000 0.000 0.500
0.500 0.000 0.000
0.000 0.000 0.000
0.500 0.500 0.500
```

Calculated values
The value obtained for the mass density is 11.7 g cm⁻³. The space group is Pm-3m, No. 221. As for the formation energy (no corrections): 2.634 eV per atom.

No. 22
This record from Alexandria describes a crystal of Li2AlSbIr relaxed with PBEsol. The functional is meta-GGA SCAN.

```
Li2AlSbIr
1.0
-1.135 3.979 1.973
1.123 -1.713 4.101
4.375 1.526 -0.561
Sb Li Al Ir
1 2 1 1
direct
0.500 0.500 0.500
0.000 0.500 0.000
0.500 0.000 0.000
0.000 0.000 0.500
0.000 0.000 0.000
```

Calculated values
The value obtained for the mass density is 6.0 g cm⁻³. The space group is P4/mmm, No. 123. As for the formation energy (no corrections): 0.108 eV per atom.

No. 23
This record from Alexandria describes a crystal of LaTc2BiMo relaxed with PBEsol. The functional is meta-GGA SCAN.

```
LaTc2BiMo
1.0
-3.129 2.383 2.550
-1.846 -4.037 1.507
3.373 0.002 4.137
Bi Tc Mo La
1 2 1 1
direct
0.500 0.500 0.500
0.000 0.500 0.000
0.500 0.000 0.000
0.000 0.000 0.000
0.000 0.000 0.500
```

Calculated values
The value obtained for the mass density is 9.1 g cm⁻³. The space group is P4/mmm, No. 123. For the formation energy, the calculation gives 0.93 eV per atom.

No. 24
This record from Alexandria describes a crystal of CaCeIn2 relaxed with PBEsol. The functional is meta-GGA SCAN.

```
CaCeIn2
1.0
5.352 0.000 0.000
2.676 4.635 0.000
2.676 1.545 4.370
In Ce Ca
2 1 1
direct
0.750 0.750 0.750
0.250 0.250 0.250
0.500 0.500 0.500
0.000 0.000 0.000
```

Calculated values
The value obtained for the mass density is 6.3 g cm⁻³. The space group is Fm-3m, No. 225. For the formation energy, the calculation gives -0.58 eV per atom.

No. 25
This record from Alexandria describes a crystal of TcPNF2 relaxed with PBEsol. The functional is meta-GGA SCAN.

```
TcPNF2
1.0
3.317 0.000 0.000
0.000 4.372 0.000
0.000 0.000 4.372
P Tc N F
1 1 1 2
direct
0.000 0.000 0.000
0.500 0.500 0.500
0.500 0.000 0.000
0.000 0.500 0.000
0.000 0.000 0.500
```

Calculated values
The value obtained for the mass density is 4.7 g cm⁻³. The space group is P4/mmm, No. 123. As for the formation energy (no corrections): 0.047 eV per atom.